Computed, not measured: a geometry-optimized Ca3ReCl structure at the PBE level of DFT.

Electronic total energy   -18.66 eV/cell
Relative energy among the computed polymorphs   34 meV per atom
Total moment   1.58 μB/cell
Formation energy from raw total energies   0.327 eV/atom
Fermi-level density of states   11.6 states/eV/cell
Space group   No. 221

Cell: 5.2041 5.2041 5.2041 Å, 90.00 90.00 90.00°
Last column: magnetic moment on the atom in μB.
Sites, in units of the cell vectors:
Re  0.5000  0.5000  0.5000  2.00
Ca  0.0000  0.5000  0.0000  -0.07
Ca  0.0000  0.0000  0.5000  -0.09
Ca  0.5000  0.0000  0.0000  -0.08
Cl  0.0000  0.0000  0.0000  0.00